1.
This record from the Alexandria database describes an optimized crystal structure of Ac2SbRu. The functional is PBE.

Cell: 5.5369 5.5369 5.5369 Å, 60.00 60.00 60.00°
Site moments in Bohr magnetons follow the coordinates.
Element x y z (fractional)
1 Sb 0.5000 0.5000 0.5000  0.07
2 Ac 0.7500 0.7500 0.7500  -0.04
3 Ru 0.0000 0.0000 0.0000  0.74
4 Ac 0.2500 0.2500 0.2500  -0.04

Properties
SG   Fm-3m, No. 225
Offset from the most stable computed form   57.0 meV/atom
Crystal system   cubic
Formation energy from raw total energies   -0.25 eV/atom

---

2.
This record from the Alexandria database describes an optimized crystal structure of AcSb3Ru. The functional is PBE.

Cell: 6.1854 6.3198 13.6548 Å, 90.00 90.00 90.00°
Element x y z (fractional)
1 Ru 0.0000 0.7500 0.9068
2 Sb 0.0000 0.7500 0.5003
3 Sb 0.5000 0.7500 0.5003
4 Ac 0.2500 0.9946 0.6965
5 Ac 0.2500 0.4946 0.3035
6 Ru 0.5000 0.2500 0.0932
7 Ac 0.7500 0.5054 0.6965
8 Ru 0.0000 0.2500 0.0932
9 Sb 0.2500 0.0966 0.9447
10 Sb 0.7500 0.0148 0.7987
11 Ac 0.7500 0.0054 0.3035
12 Sb 0.7500 0.5148 0.2013
13 Sb 0.0000 0.2500 0.4997
14 Sb 0.5000 0.2500 0.4997
15 Sb 0.2500 0.4852 0.7987
16 Sb 0.2500 0.9852 0.2013
17 Ru 0.5000 0.7500 0.9068
18 Sb 0.7500 0.4034 0.9447
19 Sb 0.2500 0.5966 0.0553
20 Sb 0.7500 0.9034 0.0553

Properties
SG   Pbcm, No. 57
Offset from the most stable computed form   0.0 meV/atom
Crystal system   orthorhombic
Formation energy from raw total energies   -0.58 eV/atom

---

3.
This record from the Alexandria database describes an optimized crystal structure of AcSb2Ru. The functional is PBE.

Cell: 4.5234 4.5234 10.6163 Å, 90.00 90.00 90.00°
Element x y z (fractional)
1 Sb 0.5000 0.5000 0.5000
2 Ru 0.0000 0.0000 0.0000
3 Sb 0.0000 0.5000 0.8703
4 Ru 0.5000 0.5000 0.0000
5 Sb 0.0000 0.0000 0.5000
6 Ac 0.0000 0.5000 0.2486
7 Sb 0.5000 0.0000 0.1297
8 Ac 0.5000 0.0000 0.7514

Properties
SG   P4/nmm, No. 129
Offset from the most stable computed form   0.0 meV/atom
Crystal system   tetragonal
Formation energy from raw total energies   -0.66 eV/atom

---

4.
This record from the Alexandria database describes an optimized crystal structure of AcSb2Ru. The functional is PBE.

Cell: 4.5364 4.5364 6.3919 Å, 69.22 69.22 60.00°
Element x y z (fractional)
1 Ru 0.5000 0.5000 0.5000
2 Sb 0.7818 0.7818 0.6547
3 Sb 0.2182 0.2182 0.3453
4 Ac 0.0000 0.0000 0.0000

Properties
SG   R-3m, No. 166
Offset from the most stable computed form   132.2 meV/atom
Crystal system   trigonal
Formation energy from raw total energies   -0.53 eV/atom

---

5.
This record from the Alexandria database describes an optimized crystal structure of AcSbRu. The functional is PBE.

Cell: 4.5390 4.5610 4.5610 Å, 120.00 90.00 90.00°
Element x y z (fractional)
1 Ac 0.6675 0.3333 0.6667
2 Ru 0.1655 0.6667 0.3333
3 Sb 0.1670 0.0000 0.0000

Properties
SG   P3m1, No. 156
Crystal system   trigonal
Formation energy from raw total energies   -0.48 eV/atom

---

6.
This record from the Alexandria database describes an optimized crystal structure of Ac4SbRu. The functional is PBE.

Cell: 7.2488 8.1810 9.7541 Å, 90.00 90.00 124.17°
Element x y z (fractional)
1 Sb 0.0011 0.4260 0.2500
2 Ac 0.0010 0.7737 0.4548
3 Ac 0.9990 0.2263 0.9548
4 Ac 0.5394 0.6600 0.7500
5 Ac 0.0010 0.7737 0.0452
6 Ac 0.4596 0.1208 0.7500
7 Ru 0.9995 0.9382 0.7500
8 Ru 0.0005 0.0618 0.2500
9 Ac 0.4606 0.3400 0.2500
10 Ac 0.9990 0.2263 0.5452
11 Sb 0.9989 0.5740 0.7500
12 Ac 0.5404 0.8792 0.2500

Properties
SG   P2_1/m, No. 11
Crystal system   monoclinic
Formation energy from raw total energies   -0.30 eV/atom

---

7.
This record from the Alexandria database describes an optimized crystal structure of AcSb2Ru2. The functional is PBE.

Cell: 4.6241 4.6241 10.5974 Å, 90.00 90.00 90.00°
Element x y z (fractional)
1 Ru 0.5000 0.5000 0.0000
2 Ru 0.0000 0.5000 0.3756
3 Sb 0.0000 0.5000 0.1262
4 Sb 0.0000 0.0000 0.5000
5 Ru 0.5000 0.0000 0.6244
6 Ac 0.5000 0.0000 0.2483
7 Ru 0.0000 0.0000 0.0000
8 Sb 0.5000 0.0000 0.8738
9 Ac 0.0000 0.5000 0.7517
10 Sb 0.5000 0.5000 0.5000

Properties
SG   P4/nmm, No. 129
Crystal system   tetragonal
Formation energy from raw total energies   -0.52 eV/atom

---

8.
This record from the Alexandria database describes an optimized crystal structure of AcSbRu2. The functional is PBE.

Cell: 3.3500 3.3500 7.3701 Å, 90.00 90.00 90.00°
Element x y z (fractional)
1 Ru 0.0000 0.0000 0.8023
2 Sb 0.5000 0.5000 0.0000
3 Ru 0.0000 0.0000 0.1977
4 Ac 0.5000 0.5000 0.5000

Properties
SG   P4/mmm, No. 123
Crystal system   tetragonal
Formation energy from raw total energies   0.08 eV/atom